Compound: PmHoTm2Th
Source: Alexandria
Functional: PBE
Structure: relaxed

Values from the calculation:
- E_form (meV/atom) = 328

Cell lengths 5.579, 8.639, 7.051 Å; angles 90.04, 90.00, 90.00 degrees
Positions (direct):
Pm 0.000 0.000 0.000
Pm 0.000 0.000 0.500
Ho 0.000 0.500 0.750
Ho 0.000 0.500 0.250
Tm 0.500 0.678 0.000
Tm 0.500 0.322 0.500
Tm 0.500 0.678 0.500
Tm 0.500 0.322 0.000
Th 0.500 0.000 0.250
Th 0.500 0.000 0.750

***

Compound: ZrIrW2
Source: Alexandria
Functional: PBE
Structure: relaxed

Values from the calculation:
- E_form (meV/atom) = 123
- energy relative to the lowest polymorph listed for this composition (meV per atom) = 251.1

Cell lengths 4.413, 4.413, 3.470 Å; angles 90.00, 90.00, 90.00 degrees
Positions (direct):
Ir 0.000 0.500 0.500
W 0.000 0.000 0.000
W 0.500 0.500 0.000
Zr 0.500 0.000 0.500

***

Compound: CuNi3Ir
Source: Alexandria
Functional: PBE
Structure: relaxed

Values from the calculation:
- E_form (meV/atom) = 364
- energy relative to the lowest polymorph listed for this composition (meV per atom) = 252.3

Cell lengths 5.858, 5.857, 10.725 Å; angles 106.05, 106.05, 46.84 degrees
Positions (direct):
Cu 0.878 0.378 0.873
Cu 0.622 0.122 0.627
Cu 0.122 0.622 0.127
Cu 0.378 0.878 0.373
Ni 0.838 0.838 0.838
Ni 0.162 0.162 0.662
Ni 0.162 0.162 0.162
Ni 0.838 0.838 0.338
Ni 0.662 0.662 0.662
Ni 0.338 0.338 0.838
Ni 0.338 0.338 0.338
Ni 0.662 0.662 0.162
Ni 0.267 0.768 0.983
Ni 0.232 0.733 0.517
Ni 0.768 0.267 0.483
Ni 0.733 0.232 0.017
Ir 0.000 0.500 0.500
Ir 0.500 0.000 0.000
Ir 0.750 0.250 0.250
Ir 0.250 0.750 0.750

***

Compound: LiHBr
Source: Alexandria
Functional: PBE
Structure: relaxed

Values from the calculation:
- energy relative to the lowest polymorph listed for this composition (meV per atom) = 769.6

Cell lengths 4.673, 6.767, 7.227 Å; angles 90.00, 90.00, 90.00 degrees
Positions (direct):
Li 0.250 0.853 0.360
Li 0.750 0.353 0.140
Li 0.250 0.647 0.860
Li 0.750 0.147 0.640
H 0.250 0.903 0.050
H 0.750 0.097 0.950
H 0.250 0.597 0.550
H 0.750 0.403 0.450
Br 0.750 0.005 0.292
Br 0.250 0.505 0.208
Br 0.750 0.495 0.792
Br 0.250 0.995 0.708

***

Compound: BaTaTl2
Source: Alexandria
Functional: PBE
Structure: relaxed

Values from the calculation:
- E_form (meV/atom) = 354

Cell lengths 3.338, 3.338, 9.544 Å; angles 90.00, 90.00, 89.97 degrees
Positions (direct):
Tl 0.000 0.000 0.964
Tl 0.000 0.000 0.536
Ba 0.500 0.500 0.250
Ta 0.500 0.500 0.750

***

Compound: LiCeSiPd
Source: Alexandria
Functional: PBE
Structure: relaxed

Values from the calculation:
- final energy (eV per atom) = -5.070

Cell lengths 4.679, 4.679, 4.679 Å; angles 60.00, 60.00, 60.00 degrees
Positions (direct):
Si 0.750 0.750 0.750
Pd 0.500 0.500 0.500
Ce 0.000 0.000 0.000
Li 0.250 0.250 0.250

***

Compound: NpV4Mo
Source: Alexandria
Functional: PBE
Structure: relaxed

Values from the calculation:
- E_form (meV/atom) = 311

Cell lengths 5.081, 5.081, 5.081 Å; angles 60.00, 60.00, 60.00 degrees
Positions (direct):
Np 0.250 0.250 0.250
Mo 0.000 0.000 0.000
V 0.625 0.625 0.125
V 0.625 0.125 0.625
V 0.625 0.625 0.625
V 0.125 0.625 0.625

***

Compound: CrTePb2C
Source: Alexandria
Functional: PBE
Structure: relaxed

Values from the calculation:
- final energy (eV per atom) = -4.289

Cell lengths 4.930, 4.695, 4.930 Å; angles 90.00, 90.00, 90.00 degrees
Positions (direct):
Pb 0.000 0.000 0.500
Pb 0.500 0.000 0.000
Cr 0.500 0.500 0.500
C 0.000 0.000 0.000
Te 0.000 0.500 0.000

***

Compound: YBe4Cr
Source: Alexandria
Functional: PBE
Structure: relaxed

Values from the calculation:
- E_form (meV/atom) = 41

Cell lengths 4.718, 4.718, 4.718 Å; angles 60.00, 60.00, 60.00 degrees
Positions (direct):
Y 0.000 0.000 0.000
Be 0.867 0.378 0.378
Be 0.378 0.378 0.867
Be 0.378 0.867 0.378
Be 0.378 0.378 0.378
Cr 0.750 0.750 0.750

***

Compound: PuCoSb3
Source: Alexandria
Functional: PBE
Structure: relaxed

Values from the calculation:
- final energy (eV per atom) = -7.126

Cell lengths 5.940, 6.124, 12.488 Å; angles 90.00, 90.00, 90.00 degrees
Positions (direct):
Pu 0.750 0.496 0.695
Pu 0.250 0.504 0.305
Pu 0.750 0.996 0.305
Pu 0.250 0.004 0.695
Co 0.500 0.250 0.096
Co 0.000 0.750 0.904
Co 0.500 0.750 0.904
Co 0.000 0.250 0.096
Sb 0.000 0.250 0.498
Sb 0.500 0.750 0.502
Sb 0.000 0.750 0.502
Sb 0.500 0.250 0.498
Sb 0.250 0.094 0.942
Sb 0.750 0.906 0.058
Sb 0.250 0.594 0.058
Sb 0.750 0.406 0.942
Sb 0.250 0.505 0.778
Sb 0.750 0.495 0.222
Sb 0.250 0.005 0.222
Sb 0.750 0.995 0.778

***

Compound: PrHo6Er
Source: Alexandria
Functional: PBE
Structure: relaxed

Values from the calculation:
- E_form (meV/atom) = 152
- energy relative to the lowest polymorph listed for this composition (meV per atom) = 0.0

Cell lengths 8.559, 9.596, 6.428 Å; angles 41.76, 48.27, 55.89 degrees
Positions (direct):
Pr 0.500 0.500 0.500
Ho 0.954 0.455 0.839
Ho 0.753 0.954 0.748
Ho 0.455 0.247 0.344
Ho 0.247 0.046 0.252
Ho 0.046 0.545 0.161
Ho 0.545 0.753 0.656
Er 0.000 0.000 0.000

***

Compound: LiZrN2O
Source: Alexandria
Functional: PBE
Structure: relaxed

Values from the calculation:
- final energy (eV per atom) = -6.776

Cell lengths 4.371, 4.371, 4.138 Å; angles 90.00, 90.00, 90.00 degrees
Positions (direct):
Li 0.500 0.500 0.500
O 0.000 0.000 0.500
Zr 0.000 0.000 0.000
N 0.000 0.500 0.000
N 0.500 0.000 0.000